Entry 1:
# PBE-GGA La2Nd2In3, optimized geometry
data_La2Nd2In3
_chemical_formula_sum 'La2 Nd2 In3'
_space_group_name_H-M_alt 'P -1'
_space_group_IT_number 2
_cell_length_a 4.015
_cell_length_b 6.253
_cell_length_c 8.898
_cell_angle_alpha 91.66
_cell_angle_beta 90.02
_cell_angle_gamma 108.69
loop_
_space_group_symop_operation_xyz
'x,y,z'
'-x,-y,-z'
loop_
_atom_site_label
_atom_site_type_symbol
_atom_site_fract_x
_atom_site_fract_y
_atom_site_fract_z
La1 La 0.214 0.428 0.160
Nd1 Nd 0.055 0.110 0.700
In1 In 0.339 0.677 0.550
In2 In 0.500 0.000 0.000
# - V: 211.51 Å³/cell
# - Magnetization: 0.0 μB/cell
# - Energy of formation from the pure elements: -0.3953 eV per atom

Entry 2:
# PBE-GGA CoSiSe, optimized geometry
data_CoSiSe
_chemical_formula_sum 'Co1 Si1 Se1'
_space_group_name_H-M_alt 'P 3 m 1'
_space_group_IT_number 156
_cell_length_a 3.2420
_cell_length_b 3.2420
_cell_length_c 4.9610
_cell_angle_alpha 90.00
_cell_angle_beta 90.00
_cell_angle_gamma 120.00
loop_
_space_group_symop_operation_xyz
'x,y,z'
'-y,x-y,z'
'-x+y,-x,z'
'-y,-x,z'
'-x+y,y,z'
'x,x-y,z'
loop_
_atom_site_label
_atom_site_type_symbol
_atom_site_fract_x
_atom_site_fract_y
_atom_site_fract_z
Co1 Co 0.0000 0.0000 0.0000
Si1 Si 0.3333 0.6667 0.7270
Se1 Se 0.6667 0.3333 0.3034
# - Uncorrected formation energy: 0.53 kcal/mol of atoms
# - V: 45.16 Å³/cell
# - Magnetization: 0.0 μB/cell

Entry 3:
# PBE-GGA K8Hg3O, optimized geometry
data_K8Hg3O
_chemical_formula_sum 'K16 Hg6 O2'
_space_group_name_H-M_alt 'P 63 m c'
_space_group_IT_number 186
_space_group_name_Hall 'P 6c -2c'
_cell_length_a 9.7596
_cell_length_b 9.7596
_cell_length_c 13.4147
_cell_angle_alpha 90.00
_cell_angle_beta 90.00
_cell_angle_gamma 120.00
loop_
_atom_site_label
_atom_site_type_symbol
_atom_site_fract_x
_atom_site_fract_y
_atom_site_fract_z
K1 K 0.0000 0.0000 0.1328
K2 K 0.0748 0.5374 0.2687
K3 K 0.2092 0.4185 0.5000
K4 K 0.3333 0.6667 0.9533
Hg1 Hg 0.1115 0.2229 0.8620
O1 O 0.3333 0.6667 0.3831
# - Uncorrected formation energy: -8.22 kcal/mol of atoms
# - V: 1106.57 Å³/cell
# - Magnetization: 0.0 μB/cell